# Ti2AlAu2

Ti2AlAu2 after structural relaxation (PBE-GGA, Alexandria via LeMat-Bulk).

```
data_Ti2AlAu2
_chemical_formula_sum 'Ti4 Al2 Au4'
_symmetry_space_group_name_H-M 'P 1'
_symmetry_Int_Tables_number 1
_cell_length_a 7.4443
_cell_length_b 7.4443
_cell_length_c 3.3017
_cell_angle_alpha 90.00
_cell_angle_beta 90.00
_cell_angle_gamma 90.00
loop_
_symmetry_equiv_pos_as_xyz
'x,y,z'
loop_
_atom_site_label
_atom_site_type_symbol
_atom_site_fract_x
_atom_site_fract_y
_atom_site_fract_z
Ti1 Ti 0.1628 0.3372 0.0000
Ti2 Ti 0.3372 0.8372 0.0000
Ti3 Ti 0.6628 0.1628 0.0000
Ti4 Ti 0.8372 0.6628 0.0000
Al1 Al 0.0000 0.0000 0.0000
Al2 Al 0.5000 0.5000 0.0000
Au1 Au 0.1354 0.6354 0.5000
Au2 Au 0.3646 0.1354 0.5000
Au3 Au 0.6354 0.8646 0.5000
Au4 Au 0.8646 0.3646 0.5000
```

## Properties
Final energy   -5.33 eV per atom
Space group   P4/mbm (127)
ρ   9.4 g/cm³
Formation energy from the elements   -111 meV/atom
Relative energy among the computed polymorphs   209 meV per atom
Crystal system   tetragonal

---

# TaAsSe2F

TaAsSe2F after structural relaxation (PBE-GGA, Alexandria via LeMat-Bulk).

```
data_TaAsSe2F
_chemical_formula_sum 'Ta1 As1 Se2 F1'
_symmetry_space_group_name_H-M 'P 1'
_symmetry_Int_Tables_number 1
_cell_length_a 4.8203
_cell_length_b 4.8203
_cell_length_c 3.9807
_cell_angle_alpha 90.00
_cell_angle_beta 90.00
_cell_angle_gamma 90.00
loop_
_symmetry_equiv_pos_as_xyz
'x,y,z'
loop_
_atom_site_label
_atom_site_type_symbol
_atom_site_fract_x
_atom_site_fract_y
_atom_site_fract_z
Ta1 Ta 0.0000 0.0000 0.0000
As1 As 0.5000 0.5000 0.0000
Se1 Se 0.0000 0.5000 0.5000
Se2 Se 0.5000 0.0000 0.5000
F1 F 0.5000 0.5000 0.5000
```

## Properties
Final energy   -4.58 eV per atom
Space group   P4/mmm (123)
Formation energy without anion corrections   46.98 kJ per mole of atoms
ρ   7.8 g/cm³
Relative energy among the computed polymorphs   645 meV per atom
Crystal system   tetragonal

---

# K2LiAg2

K2LiAg2 after structural relaxation (PBE-GGA, Alexandria via LeMat-Bulk).

```
data_K2LiAg2
_chemical_formula_sum 'K2 Li1 Ag2'
_symmetry_space_group_name_H-M 'P 1'
_symmetry_Int_Tables_number 1
_cell_length_a 8.0965
_cell_length_b 8.0965
_cell_length_c 8.0965
_cell_angle_alpha 143.51
_cell_angle_beta 143.51
_cell_angle_gamma 52.56
loop_
_symmetry_equiv_pos_as_xyz
'x,y,z'
loop_
_atom_site_label
_atom_site_type_symbol
_atom_site_fract_x
_atom_site_fract_y
_atom_site_fract_z
K1 K 0.2500 0.7500 0.5000
K2 K 0.7500 0.2500 0.5000
Li1 Li 0.0000 0.0000 0.0000
Ag1 Ag 0.4065 0.4065 0.0000
Ag2 Ag 0.5935 0.5935 0.0000
```

## Properties
Final energy   -1.67 eV per atom
Space group   I4/mmm (139)
ρ   2.7 g/cm³
Formation energy from the elements   288 meV/atom
Relative energy among the computed polymorphs   221 meV per atom
Crystal system   tetragonal

---

# LiCo2Bi2

LiCo2Bi2 after structural relaxation (PBE-GGA, Alexandria via LeMat-Bulk).

```
data_LiCo2Bi2
_chemical_formula_sum 'Li1 Co2 Bi2'
_symmetry_space_group_name_H-M 'P 1'
_symmetry_Int_Tables_number 1
_cell_length_a 7.5627
_cell_length_b 7.5627
_cell_length_c 7.5627
_cell_angle_alpha 150.43
_cell_angle_beta 150.43
_cell_angle_gamma 42.30
loop_
_symmetry_equiv_pos_as_xyz
'x,y,z'
loop_
_atom_site_label
_atom_site_type_symbol
_atom_site_fract_x
_atom_site_fract_y
_atom_site_fract_z
Li1 Li 0.0000 0.0000 0.0000
Co1 Co 0.2500 0.7500 0.5000
Co2 Co 0.7500 0.2500 0.5000
Bi1 Bi 0.3719 0.3719 0.0000
Bi2 Bi 0.6281 0.6281 0.0000
```

## Properties
Final energy   -4.59 eV per atom
Space group   I4/mmm (139)
ρ   8.6 g/cm³
Formation energy from the elements   189 meV/atom
Relative energy among the computed polymorphs   0 meV per atom
Crystal system   tetragonal

---

# Pm2NdRh3

Pm2NdRh3 after structural relaxation (PBE-GGA, Alexandria via LeMat-Bulk).

```
data_Pm2NdRh3
_chemical_formula_sum 'Pm4 Nd2 Rh6'
_symmetry_space_group_name_H-M 'P 1'
_symmetry_Int_Tables_number 1
_cell_length_a 5.0221
_cell_length_b 6.9529
_cell_length_c 7.9354
_cell_angle_alpha 90.00
_cell_angle_beta 108.34
_cell_angle_gamma 90.00
loop_
_symmetry_equiv_pos_as_xyz
'x,y,z'
loop_
_atom_site_label
_atom_site_type_symbol
_atom_site_fract_x
_atom_site_fract_y
_atom_site_fract_z
Pm1 Pm 0.0000 0.0000 0.0000
Pm2 Pm 0.0000 0.5000 0.0000
Pm3 Pm 0.3333 0.0000 0.6666
Pm4 Pm 0.6667 0.0000 0.3334
Nd1 Nd 0.3335 0.5000 0.6670
Nd2 Nd 0.6665 0.5000 0.3330
Rh1 Rh 0.1659 0.2479 0.3319
Rh2 Rh 0.1659 0.7521 0.3319
Rh3 Rh 0.5000 0.2486 0.0000
Rh4 Rh 0.5000 0.7514 0.0000
Rh5 Rh 0.8341 0.2479 0.6681
Rh6 Rh 0.8341 0.7521 0.6681
```

## Properties
Final energy   -6.72 eV per atom
Space group   P2/m (10)
ρ   9.4 g/cm³
Formation energy from the elements   -670 meV/atom
Relative energy among the computed polymorphs   3 meV per atom
Crystal system   monoclinic

---

# Ba4TeAsI2

Ba4TeAsI2 after structural relaxation (PBE-GGA, Alexandria via LeMat-Bulk).

```
data_Ba4TeAsI2
_chemical_formula_sum 'Ba4 Te1 As1 I2'
_symmetry_space_group_name_H-M 'P 1'
_symmetry_Int_Tables_number 1
_cell_length_a 8.5863
_cell_length_b 4.9139
_cell_length_c 8.7017
_cell_angle_alpha 90.00
_cell_angle_beta 108.90
_cell_angle_gamma 90.00
loop_
_symmetry_equiv_pos_as_xyz
'x,y,z'
loop_
_atom_site_label
_atom_site_type_symbol
_atom_site_fract_x
_atom_site_fract_y
_atom_site_fract_z
Ba1 Ba 0.2236 0.0000 0.2131
Ba2 Ba 0.2438 0.5000 0.7796
Ba3 Ba 0.7562 0.5000 0.2204
Ba4 Ba 0.7764 0.0000 0.7869
Te1 Te 0.5000 0.0000 0.0000
As1 As 0.0000 0.5000 0.0000
I1 I 0.0000 0.0000 0.5000
I2 I 0.5000 0.5000 0.5000
```

## Properties
Final energy   -3.86 eV per atom
Space group   P2/m (10)
Formation energy without anion corrections   -148.10 kJ per mole of atoms
ρ   4.8 g/cm³
Crystal system   monoclinic

---

# NdHo3Ni

NdHo3Ni after structural relaxation (PBE-GGA, Alexandria via LeMat-Bulk).

```
data_NdHo3Ni
_chemical_formula_sum 'Nd2 Ho6 Ni2'
_symmetry_space_group_name_H-M 'P 1'
_symmetry_Int_Tables_number 1
_cell_length_a 7.4631
_cell_length_b 7.4631
_cell_length_c 5.8809
_cell_angle_alpha 90.00
_cell_angle_beta 90.00
_cell_angle_gamma 120.00
loop_
_symmetry_equiv_pos_as_xyz
'x,y,z'
loop_
_atom_site_label
_atom_site_type_symbol
_atom_site_fract_x
_atom_site_fract_y
_atom_site_fract_z
Nd1 Nd 0.3333 0.6667 0.2500
Nd2 Nd 0.6667 0.3333 0.7500
Ho1 Ho 0.1765 0.3531 0.7500
Ho2 Ho 0.1765 0.8235 0.7500
Ho3 Ho 0.3531 0.1765 0.2500
Ho4 Ho 0.6469 0.8235 0.7500
Ho5 Ho 0.8235 0.1765 0.2500
Ho6 Ho 0.8235 0.6469 0.2500
Ni1 Ni 0.0000 0.0000 0.0000
Ni2 Ni 0.0000 0.0000 0.5000
```

## Properties
Final energy   -4.96 eV per atom
Space group   P6_3/mmc (194)
ρ   8.2 g/cm³
Formation energy from the elements   -105 meV/atom
Relative energy among the computed polymorphs   0 meV per atom
Crystal system   hexagonal

---

# Re3AgCl

Re3AgCl after structural relaxation (PBE-GGA, Alexandria via LeMat-Bulk).

```
data_Re3AgCl
_chemical_formula_sum 'Re3 Ag1 Cl1'
_symmetry_space_group_name_H-M 'P 1'
_symmetry_Int_Tables_number 1
_cell_length_a 5.1470
_cell_length_b 5.1470
_cell_length_c 5.1470
_cell_angle_alpha 90.00
_cell_angle_beta 90.00
_cell_angle_gamma 90.00
loop_
_symmetry_equiv_pos_as_xyz
'x,y,z'
loop_
_atom_site_label
_atom_site_type_symbol
_atom_site_fract_x
_atom_site_fract_y
_atom_site_fract_z
Re1 Re 0.0000 0.0000 0.5000
Re2 Re 0.0000 0.5000 0.0000
Re3 Re 0.5000 0.0000 0.0000
Ag1 Ag 0.0000 0.0000 0.0000
Cl1 Cl 0.5000 0.5000 0.5000
```

## Properties
Final energy   -5.14 eV per atom
Space group   Pm-3m (221)
Formation energy without anion corrections   315.61 kJ per mole of atoms
ρ   8.5 g/cm³
Relative energy among the computed polymorphs   1504 meV per atom
Crystal system   cubic

---

What is the final energy in the seventh record?
-4.96 eV per atom